No. 1
Below is crystalline TbTeBr at its relaxed geometry, with properties calculated at the PBE-GGA level.

Cell lengths 7.3467, 4.3208, 7.3590 Å; angles 90.00, 95.37, 90.00 degrees
Fractional coordinates of all 6 atoms:
Tb  0.0000  0.0000  0.0000
Tb  0.5000  0.5000  0.0000
Te  0.1938  0.5000  0.2417
Te  0.8062  0.5000  0.7583
Br  0.3202  0.0000  0.7828
Br  0.6798  0.0000  0.2172

Computed properties:
Total DFT energy (no corrections)   -4.681 eV per atom
Crystal system   monoclinic
Formation energy from raw total energies   -1.533 eV/atom

No. 2
Below is crystalline BAsPd at its relaxed geometry, with properties calculated at the PBE-GGA level.

Cell lengths 3.5256, 4.3402, 5.9720 Å; angles 100.43, 103.20, 90.59 degrees
Fractional coordinates of all 6 atoms:
B  0.0350  0.1473  0.1242
B  0.9650  0.8527  0.8758
As  0.3791  0.7895  0.6733
As  0.6209  0.2105  0.3267
Pd  0.1819  0.6779  0.2250
Pd  0.8181  0.3221  0.7750

Computed properties:
E_form   14 meV/atom
DOS(E_F)   2.36 states/eV per cell
Total DFT energy (no corrections)   -5.493 eV per atom
Crystal system   triclinic
E above lowest polymorph   46 meV/atom

No. 3
Below is crystalline Er3GaNi9P2 at its relaxed geometry, with properties calculated at the PBE-GGA level.

Cell lengths 5.7507, 5.7507, 8.3338 Å; angles 90.00, 90.00, 120.00 degrees
Fractional coordinates of all 15 atoms:
Er  0.0000  0.0000  0.0000
Er  0.3333  0.6667  0.6622
Er  0.6667  0.3333  0.3378
Ga  0.0000  0.0000  0.5000
Ni  0.0000  0.5000  0.0000
Ni  0.1453  0.2907  0.2787
Ni  0.1453  0.8547  0.2787
Ni  0.2907  0.1453  0.7213
Ni  0.5000  0.0000  0.0000
Ni  0.5000  0.5000  0.0000
Ni  0.7093  0.8547  0.2787
Ni  0.8547  0.1453  0.7213
Ni  0.8547  0.7093  0.7213
P  0.3333  0.6667  0.1687
P  0.6667  0.3333  0.8313

Computed properties:
E_form   -434 meV/atom
DOS(E_F)   7.22 states/eV per cell
Total DFT energy (no corrections)   -5.739 eV per atom
Crystal system   trigonal

No. 4
Below is crystalline Tm6CoHg at its relaxed geometry, with properties calculated at the PBE-GGA level.

Cell lengths 6.4478, 6.4478, 6.4806 Å; angles 100.74, 100.74, 114.61 degrees
Fractional coordinates of all 8 atoms:
Tm  0.0153  0.3864  0.2379
Tm  0.2326  0.2326  0.7783
Tm  0.3864  0.0153  0.2379
Tm  0.6136  0.9847  0.7621
Tm  0.7674  0.7674  0.2217
Tm  0.9847  0.6136  0.7621
Co  0.0000  0.0000  0.0000
Hg  0.5000  0.5000  0.5000

Computed properties:
E_form   -23 meV/atom
DOS(E_F)   10.72 states/eV per cell
Total DFT energy (no corrections)   -4.303 eV per atom
Crystal system   monoclinic

No. 5
Below is crystalline Er3AgH at its relaxed geometry, with properties calculated at the PBE-GGA level.

Cell lengths 4.7510, 4.7510, 4.7510 Å; angles 90.00, 90.00, 90.00 degrees
Fractional coordinates of all 5 atoms:
Er  0.0000  0.0000  0.5000
Er  0.0000  0.5000  0.0000
Er  0.5000  0.0000  0.0000
Ag  0.5000  0.5000  0.5000
H  0.0000  0.0000  0.0000

Computed properties:
DOS(E_F)   7.33 states/eV per cell
Total DFT energy (no corrections)   -4.113 eV per atom
Crystal system   cubic

No. 6
Below is crystalline CaTcS2Cl at its relaxed geometry, with properties calculated at the PBE-GGA level.

Cell lengths 5.2345, 5.2345, 5.0563 Å; angles 90.00, 90.00, 90.00 degrees
Fractional coordinates of all 5 atoms:
Ca  0.0000  0.0000  0.0000
Tc  0.5000  0.5000  0.5000
S  0.0000  0.5000  0.0000
S  0.5000  0.0000  0.0000
Cl  0.0000  0.0000  0.5000

Computed properties:
DOS(E_F)   4.19 states/eV per cell
Total DFT energy (no corrections)   -4.214 eV per atom
Crystal system   tetragonal
E above lowest polymorph   984 meV/atom
Formation energy from raw total energies   0.280 eV/atom

No. 7
Below is crystalline ZnSbOsI2 at its relaxed geometry, with properties calculated at the PBE-GGA level.

Cell lengths 5.3876, 5.3876, 5.4079 Å; angles 90.00, 90.00, 90.00 degrees
Fractional coordinates of all 5 atoms:
Zn  0.0000  0.0000  0.0000
Sb  0.0000  0.0000  0.5000
Os  0.5000  0.5000  0.5000
I  0.0000  0.5000  0.0000
I  0.5000  0.0000  0.0000

Computed properties:
DOS(E_F)   5.12 states/eV per cell
Total DFT energy (no corrections)   -2.464 eV per atom
Crystal system   tetragonal
E above lowest polymorph   791 meV/atom
Formation energy from raw total energies   1.482 eV/atom

No. 8
Below is crystalline Dy3Pt at its relaxed geometry, with properties calculated at the PBE-GGA level.

Cell lengths 6.3685, 6.3685, 6.3685 Å; angles 146.43, 131.25, 60.49 degrees
Fractional coordinates of all 4 atoms:
Dy  0.0000  0.0000  0.0000
Dy  0.3001  0.8001  0.5000
Dy  0.6999  0.1999  0.5000
Pt  0.5000  0.5000  0.0000

Computed properties:
E_form   -624 meV/atom
DOS(E_F)   4.56 states/eV per cell
Total DFT energy (no corrections)   -5.586 eV per atom
Crystal system   orthorhombic